The following is a PBE calculation of an optimized crystal structure of Rb2PuZn2O6, from the Alexandria database.

Values from the calculation:
total moment	2.00	μB per formula unit
N(E_F)	6.960	states/eV per cell
SG	R-3m, No. 166
raw formation energy	-1.846	eV per atom
uncorrected energy	-0.4602	Ry per atom

Cell lengths 6.125, 6.125, 6.987 Å; angles 64.00, 64.00, 60.00 degrees
Atoms (fractional coordinates):
1 Pu 0.000 0.000 0.000
2 Zn 0.400 0.400 0.799
3 Zn 0.600 0.600 0.201
4 O 0.226 0.758 0.790
5 O 0.774 0.774 0.210
6 O 0.758 0.226 0.790
7 O 0.226 0.226 0.790
8 O 0.242 0.774 0.210
9 O 0.774 0.242 0.210
10 Rb 0.210 0.210 0.371
11 Rb 0.790 0.790 0.629

The following is a PBE calculation of an optimized crystal structure of Rb3Pu2ZrO9, from the Alexandria database.

Values from the calculation:
total moment	5.00	μB per formula unit
N(E_F)	8.321	states/eV per cell
SG	P-3m1, No. 164
raw formation energy	-2.548	eV per atom
uncorrected energy	-0.6025	Ry per atom

Cell lengths 6.034, 6.034, 7.403 Å; angles 90.00, 90.00, 120.00 degrees
Atoms (fractional coordinates):
1 O 0.168 0.335 0.332
2 O 0.335 0.168 0.668
3 O 0.832 0.665 0.668
4 O 0.000 0.500 0.000
5 O 0.500 0.000 0.000
6 O 0.665 0.832 0.332
7 O 0.832 0.168 0.668
8 O 0.500 0.500 0.000
9 O 0.168 0.832 0.332
10 Rb 0.333 0.667 0.664
11 Rb 0.667 0.333 0.336
12 Rb 0.000 0.000 0.000
13 Zr 0.000 0.000 0.500
14 Pu 0.333 0.667 0.170
15 Pu 0.667 0.333 0.830

The following is a PBE calculation of an optimized crystal structure of RbPuZr2O8, from the Alexandria database.

Values from the calculation:
total moment	1.00	μB per formula unit
SG	C2/m, No. 12
raw formation energy	-2.622	eV per atom
uncorrected energy	-0.6341	Ry per atom

Cell lengths 5.466, 5.467, 7.707 Å; angles 78.56, 78.56, 74.50 degrees
Atoms (fractional coordinates):
1 Zr 0.455 0.455 0.711
2 Zr 0.545 0.545 0.289
3 O 0.776 0.777 0.080
4 O 0.216 0.766 0.812
5 O 0.766 0.216 0.811
6 O 0.350 0.350 0.507
7 O 0.650 0.650 0.493
8 O 0.784 0.234 0.188
9 O 0.224 0.223 0.920
10 O 0.234 0.784 0.189
11 Rb 0.000 0.000 0.500
12 Pu 0.000 0.000 0.000

> Among the records above, which one has the lowest total moment?

RbPuZr2O8

> Look up the raw formation energy of the third one.

-2.622 eV per atom